# 1
Entry from the Alexandria database: a relaxed structure of KNi2Br (PBE).

a = 6.813 Å, b = 6.813 Å, c = 6.813 Å
α = 145.91°, β = 145.91°, γ = 48.98°
Fractional positions:
1 K 0.000 0.000 0.000
2 Ni 0.250 0.750 0.500
3 Ni 0.750 0.250 0.500
4 Br 0.500 0.500 0.000

## Properties
- Space-group type: I4/mmm, No. 139
- Energy above the lowest structure with this stoichiometry: 0.460 eV per atom



# 2
Entry from the Alexandria database: a relaxed structure of KNi2Br (PBE).

a = 3.964 Å, b = 3.964 Å, c = 7.692 Å
α = 107.67°, β = 107.67°, γ = 54.42°
Fractional positions:
1 K 0.000 0.000 0.000
2 Ni 0.187 0.187 0.670
3 Ni 0.470 0.470 0.571
4 Br 0.809 0.809 0.326

## Properties
- Space-group type: Cm, No. 8
- Energy above the lowest structure with this stoichiometry: 0.025 eV per atom



# 3
Entry from the Alexandria database: a relaxed structure of K2Ni2Br7 (PBE).

a = 6.437 Å, b = 16.004 Å, c = 8.311 Å
α = 90.00°, β = 98.99°, γ = 90.00°
Fractional positions:
1 K 0.117 0.155 0.436
2 K 0.117 0.345 0.936
3 K 0.883 0.655 0.064
4 K 0.883 0.845 0.564
5 Ni 0.330 0.604 0.643
6 Ni 0.330 0.896 0.143
7 Ni 0.670 0.104 0.857
8 Ni 0.670 0.396 0.357
9 Br 0.036 0.654 0.472
10 Br 0.036 0.846 0.972
11 Br 0.228 0.548 0.877
12 Br 0.228 0.952 0.377
13 Br 0.450 0.216 0.768
14 Br 0.450 0.284 0.268
15 Br 0.500 0.000 0.000
16 Br 0.500 0.500 0.500
17 Br 0.550 0.716 0.732
18 Br 0.550 0.784 0.232
19 Br 0.772 0.048 0.623
20 Br 0.772 0.452 0.123
21 Br 0.964 0.154 0.028
22 Br 0.964 0.346 0.528

## Properties
- Space-group type: P2_1/c, No. 14



| no. | electronic total energy (eV/atom) | total moment (μB/f.u.) |
| --- | --- | --- |
| 1 | -2.99 | 1.9 |
| 2 | -3.42 | 1.6 |
| 3 | -3.07 | 5.1 |